<A>
BINF2: optimized geometry, PBE-GGA.

abc: 4.822 4.822 2.741
angles: 90.00 90.00 90.00
Positions (direct):
I 0.500 0.500 0.500
B 0.000 0.000 0.000
N 0.000 0.000 0.500
F 0.000 0.500 0.000
F 0.500 0.000 0.000

crystal system: tetragonal
symmetry: P4/mmm (123)
total magnetization: 0.007 Bohr magnetons per cell



<B>
BINF2: optimized geometry, PBE-GGA.

abc: 4.691 4.691 4.033
angles: 90.00 90.00 90.00
Positions (direct):
I 0.000 0.000 0.000
B 0.500 0.500 0.500
N 0.000 0.000 0.500
F 0.000 0.500 0.000
F 0.500 0.000 0.000

crystal system: tetragonal
symmetry: P4/mmm (123)
total magnetization: 0.001 Bohr magnetons per cell



<A> ends up most stable, edging out the next structure by 126.9 kJ/mol of atoms.